Density functional theory data (PBE-GGA) for a relaxed SrCa2O crystal.

Computed properties:
Symmetry: I4_1/amd (141)
Total DFT energy (no corrections) (eV/f.u.): -16.05
Total magnetic moment (μB/cell): 0.00
N(E_F) (states/eV/cell): 9.71

Cell: 7.3628 7.3628 7.3538 Å, 59.96 59.96 90.00°
Fractional coordinates of all 8 atoms:
Sr 0.0000 0.0000 0.0000
Sr 0.7500 0.2500 0.5000
Ca 0.3756 0.1250 0.2500
Ca 0.3744 0.6250 0.2500
Ca 0.3750 0.6244 0.7500
Ca 0.8750 0.6256 0.7500
O 0.5000 0.5000 0.0000
O 0.2500 0.7500 0.5000

Density functional theory data (PBE-GGA) for a relaxed Sr2CaO12 crystal.

Computed properties:
Symmetry: P1 (1)
Total DFT energy (no corrections) (eV/f.u.): -80.95
Total magnetic moment (μB/cell): 6.00
N(E_F) (states/eV/cell): 6.55

Cell: 4.8111 6.4440 8.6812 Å, 104.20 90.01 111.83°
Each line ends with the local moment (μB).
Fractional coordinates of all 15 atoms:
Sr 0.7336 0.9467 0.8073  -0.01
Sr 0.2882 0.0551 0.1929  -0.01
Ca 0.0109 0.5009 0.5000  -0.01
O 0.1871 0.8533 0.8962  0.29
O 0.8375 0.1534 0.5884  0.43
O 0.8346 0.1484 0.1040  0.29
O 0.1848 0.8484 0.4117  0.43
O 0.1938 0.8669 0.7372  0.25
O 0.9223 0.3268 0.7248  0.44
O 0.8280 0.1350 0.2630  0.25
O 0.0992 0.6750 0.2753  0.44
O 0.5389 0.5582 0.5797  0.34
O 0.5644 0.6087 0.0208  0.72
O 0.4832 0.4439 0.4203  0.34
O 0.4561 0.3917 0.9785  0.72

Density functional theory data (PBE-GGA) for a relaxed SrCaO2 crystal.

Computed properties:
Symmetry: P4/mmm (123)
Total DFT energy (no corrections) (eV/f.u.): -24.79
Total magnetic moment (μB/cell): 0.00
N(E_F) (states/eV/cell): 0.00
Energy above the most stable polymorph in this dataset (kJ per mole of atoms): 2.2

Cell: 3.5644 3.5644 5.0378 Å, 90.00 90.00 90.00°
Fractional coordinates of all 4 atoms:
Sr 0.5000 0.5000 0.0000
Ca 0.0000 0.0000 0.5000
O 0.0000 0.0000 0.0000
O 0.5000 0.5000 0.5000

Density functional theory data (PBE-GGA) for a relaxed SrCa2O crystal.

Computed properties:
Symmetry: R-3m (166)
Total DFT energy (no corrections) (eV/f.u.): -15.46
Total magnetic moment (μB/cell): 0.00
N(E_F) (states/eV/cell): 2.24

Cell: 3.6278 3.6278 10.0277 Å, 79.58 79.58 60.00°
Fractional coordinates of all 4 atoms:
Sr 0.0000 0.0000 0.0000
Ca 0.1197 0.1197 0.6409
Ca 0.8803 0.8803 0.3591
O 0.5000 0.5000 0.5000

Density functional theory data (PBE-GGA) for a relaxed SrCaO2 crystal.

Computed properties:
Symmetry: R3m (160)
Total DFT energy (no corrections) (eV/f.u.): -24.29
Total magnetic moment (μB/cell): 0.00
N(E_F) (states/eV/cell): 0.00
Energy above the most stable polymorph in this dataset (kJ per mole of atoms): 14.1

Cell: 3.4815 3.4815 6.4044 Å, 74.23 74.23 60.00°
Fractional coordinates of all 4 atoms:
Sr 0.6677 0.6677 0.9969
Ca 0.4987 0.4987 0.5038
O 0.0864 0.0864 0.7409
O 0.2472 0.2472 0.2584

Density functional theory data (PBE-GGA) for a relaxed SrCaO2 crystal.

Computed properties:
Symmetry: Fm-3m (225)
Total DFT energy (no corrections) (eV/f.u.): -23.05
Total magnetic moment (μB/cell): 0.00
N(E_F) (states/eV/cell): 0.00
Energy above the most stable polymorph in this dataset (kJ per mole of atoms): 44.1

Cell: 4.3101 4.3101 4.3101 Å, 60.00 60.00 60.00°
Fractional coordinates of all 4 atoms:
Sr 0.5000 0.5000 0.5000
Ca 0.0000 0.0000 0.0000
O 0.2500 0.2500 0.2500
O 0.7500 0.7500 0.7500

Density functional theory data (PBE-GGA) for a relaxed Sr2CaO crystal.

Computed properties:
Symmetry: R-3m (166)
Total DFT energy (no corrections) (eV/f.u.): -14.88
Total magnetic moment (μB/cell): 0.06
N(E_F) (states/eV/cell): 3.01

Cell: 3.7862 3.7862 10.4424 Å, 79.56 79.56 60.00°
Fractional coordinates of all 4 atoms:
Sr 0.1179 0.1179 0.6463
Sr 0.8821 0.8821 0.3537
Ca 0.0000 0.0000 0.0000
O 0.5000 0.5000 0.5000

Density functional theory data (PBE-GGA) for a relaxed Sr4CaO5 crystal.

Computed properties:
Symmetry: I4/m (87)
Total DFT energy (no corrections) (eV/f.u.): -61.11
Total magnetic moment (μB/cell): 0.00
N(E_F) (states/eV/cell): 0.00

Cell: 5.1452 6.2899 6.2899 Å, 80.37 65.86 65.86°
Fractional coordinates of all 10 atoms:
Sr 0.4004 0.3984 0.8029
Sr 0.7988 0.8029 0.6016
Sr 0.2033 0.1971 0.3984
Sr 0.6017 0.6016 0.1971
Ca 0.0012 0.0000 0.0000
O 0.9056 0.3855 0.8054
O 0.2911 0.8054 0.6145
O 0.7110 0.1946 0.3855
O 0.0965 0.6145 0.1946
O 0.5008 0.0000 0.0000